An optimized crystal structure of La3TcS. Source: the Alexandria database, functional PBEsol.

The structure in extended XYZ format:
```
5
Lattice="5.329 0.000 0.000 0.000 5.329 0.000 0.000 0.000 5.329" Properties=species:S:1:pos:R:3 pbc="T T T"
La 0.000 0.000 2.665
La 0.000 2.665 0.000
La 2.665 0.000 0.000
Tc 0.000 0.000 0.000
S 2.665 2.665 2.665
```

## Properties
Electronic total energy = -6.529 eV per atom
Crystal system = cubic
Polymorph energy (0 for the lowest one) = 0 meV/atom